(1)
# NaAgHgCl5 | Alexandria | GGA-PBE | relaxed
data_NaAgHgCl5
_chemical_formula_sum 'Na4 Ag4 Hg4 Cl20'
_cell_length_a 8.803
_cell_length_b 12.422
_cell_length_c 9.585
_cell_angle_alpha 90.00
_cell_angle_beta 115.68
_cell_angle_gamma 90.00
_space_group_name_H-M_alt 'C 1 2/c 1'
_space_group_IT_number 15
loop_
_space_group_symop_operation_xyz
'x,y,z'
'-x,-y,-z'
'-x,y,-z+1/2'
'x,-y,z+1/2'
'x+1/2,y+1/2,z'
'-x+1/2,-y+1/2,-z'
'-x+1/2,y+1/2,-z+1/2'
'x+1/2,-y+1/2,z+1/2'
loop_
_atom_site_label
_atom_site_fract_x
_atom_site_fract_y
_atom_site_fract_z
Na1 0.000 0.194 0.250
Ag1 0.000 0.500 0.000
Hg1 0.000 0.173 0.750
Cl1 0.000 0.443 0.250
Cl2 0.090 0.256 0.568
Cl3 0.194 0.007 0.899
# **Density of states at the Fermi level**: 6.06 states/eV per cell
# **Size of the total moment**: 0.00 μB/atom
# **Electronic total energy**: -2.479 eV/atom

=====

(2)
# NaAgHgCl4 | Alexandria | GGA-PBE | relaxed
data_NaAgHgCl4
_chemical_formula_sum 'Na4 Ag4 Hg4 Cl16'
_cell_length_a 8.059
_cell_length_b 8.198
_cell_length_c 11.240
_cell_angle_alpha 90.00
_cell_angle_beta 90.00
_cell_angle_gamma 90.00
_space_group_name_H-M_alt 'I m m a'
_space_group_IT_number 74
_space_group_name_Hall '-I 2b 2'
loop_
_atom_site_label
_atom_site_fract_x
_atom_site_fract_y
_atom_site_fract_z
Na1 0.000 0.000 0.000
Ag1 0.250 0.250 0.250
Hg1 0.000 0.250 0.625
Cl1 0.000 0.011 0.251
Cl2 0.240 0.250 0.008
# **Size of the total moment**: 0.00 μB/atom
# **Electronic total energy**: -2.583 eV/atom

=====

(3)
# Na2Ag2HgCl6 | Alexandria | GGA-PBE | relaxed
data_Na2Ag2HgCl6
_chemical_formula_sum 'Na4 Ag4 Hg2 Cl12'
_cell_length_a 6.916
_cell_length_b 12.534
_cell_length_c 6.765
_cell_angle_alpha 90.00
_cell_angle_beta 103.75
_cell_angle_gamma 90.00
_space_group_name_H-M_alt 'C 1 2/m 1'
_space_group_IT_number 12
loop_
_space_group_symop_operation_xyz
'x,y,z'
'-x,-y,-z'
'-x,y,-z'
'x,-y,z'
'x+1/2,y+1/2,z'
'-x+1/2,-y+1/2,-z'
'-x+1/2,y+1/2,-z'
'x+1/2,-y+1/2,z'
loop_
_atom_site_label
_atom_site_fract_x
_atom_site_fract_y
_atom_site_fract_z
Na1 0.000 0.165 0.000
Ag1 0.000 0.316 0.500
Hg1 0.000 0.500 0.000
Cl1 0.218 0.327 0.247
Cl2 0.245 0.500 0.786
# **Density of states at the Fermi level**: 0.00 states/eV per cell
# **Size of the total moment**: 0.00 μB/atom
# **Electronic total energy**: -2.760 eV/atom

=====

What did the second record say?
# NaAgHgCl4 | Alexandria | GGA-PBE | relaxed
data_NaAgHgCl4
_chemical_formula_sum 'Na4 Ag4 Hg4 Cl16'
_cell_length_a 8.059
_cell_length_b 8.198
_cell_length_c 11.240
_cell_angle_alpha 90.00
_cell_angle_beta 90.00
_cell_angle_gamma 90.00
_space_group_name_H-M_alt 'I m m a'
_space_group_IT_number 74
_space_group_name_Hall '-I 2b 2'
loop_
_atom_site_label
_atom_site_fract_x
_atom_site_fract_y
_atom_site_fract_z
Na1 0.000 0.000 0.000
Ag1 0.250 0.250 0.250
Hg1 0.000 0.250 0.625
Cl1 0.000 0.011 0.251
Cl2 0.240 0.250 0.008
# **Size of the total moment**: 0.00 μB/atom
# **Electronic total energy**: -2.583 eV/atom